The following is a PBE calculation of an optimized crystal structure of BeTlCr2, from the Alexandria database.

The structure in CIF format:
```
data_BeTlCr2
_chemical_formula_sum 'Be1 Tl1 Cr2'
_symmetry_space_group_name_H-M 'P 4/m m m'
_symmetry_Int_Tables_number 123
_symmetry_space_group_name_Hall '-P 4 2'
_cell_length_a 3.069
_cell_length_b 3.069
_cell_length_c 5.947
_cell_angle_alpha 90.00
_cell_angle_beta 90.00
_cell_angle_gamma 90.00
loop_
_atom_site_label
_atom_site_type_symbol
_atom_site_fract_x
_atom_site_fract_y
_atom_site_fract_z
Be1 Be 0.000 0.000 0.000
Tl1 Tl 0.000 0.000 0.500
Cr1 Cr 0.500 0.500 0.168
```

Computed properties:
Relative energy among the computed polymorphs in kJ per mole of atoms: 5.56
Total moment in μB/atom: 0.000
E_form in eV per atom: 0.481

---

The following is a PBE calculation of an optimized crystal structure of GdErMgIr, from the Alexandria database.

The structure in CIF format:
```
data_GdErMgIr
_chemical_formula_sum 'Gd4 Er4 Mg4 Ir4'
_symmetry_space_group_name_H-M 'F -4 3 m'
_symmetry_Int_Tables_number 216
_symmetry_space_group_name_Hall 'F -4 2 3'
_cell_length_a 7.106
_cell_length_b 7.106
_cell_length_c 7.106
_cell_angle_alpha 90.00
_cell_angle_beta 90.00
_cell_angle_gamma 90.00
loop_
_atom_site_label
_atom_site_type_symbol
_atom_site_fract_x
_atom_site_fract_y
_atom_site_fract_z
Gd1 Gd 0.000 0.000 0.000
Er1 Er 0.000 0.000 0.500
Mg1 Mg 0.250 0.250 0.750
Ir1 Ir 0.250 0.250 0.250
```

Computed properties:
Total moment in μB/atom: 1.762
E_form in eV per atom: -0.448

---

The following is a PBE calculation of an optimized crystal structure of ZnCrHRu, from the Alexandria database.

The structure in CIF format:
```
data_ZnCrHRu
_chemical_formula_sum 'Zn2 Cr2 H2 Ru2'
_symmetry_space_group_name_H-M 'C 1 m 1'
_symmetry_Int_Tables_number 8
_cell_length_a 4.709
_cell_length_b 2.715
_cell_length_c 6.710
_cell_angle_alpha 90.00
_cell_angle_beta 90.31
_cell_angle_gamma 90.00
loop_
_symmetry_equiv_pos_as_xyz
'x,y,z'
'x,-y,z'
'x+1/2,y+1/2,z'
'x+1/2,-y+1/2,z'
loop_
_atom_site_label
_atom_site_type_symbol
_atom_site_fract_x
_atom_site_fract_y
_atom_site_fract_z
Zn1 Zn 0.000 0.000 0.000
Cr1 Cr 0.332 0.000 0.372
H1 H 0.164 0.500 0.251
Ru1 Ru 0.167 0.500 0.664
```

Computed properties:
Total moment in μB/atom: 0.000
Final energy in eV for the cell shown: -46.58

---

The following is a PBE calculation of an optimized crystal structure of Np2AuN, from the Alexandria database.

The structure in CIF format:
```
data_Np2AuN
_chemical_formula_sum 'Np6 Au3 N3'
_symmetry_space_group_name_H-M 'R -3 m'
_symmetry_Int_Tables_number 166
_symmetry_space_group_name_Hall '-R 3 2"'
_cell_length_a 3.0477
_cell_length_b 3.0477
_cell_length_c 27.5431
_cell_angle_alpha 90.00
_cell_angle_beta 90.00
_cell_angle_gamma 120.00
loop_
_atom_site_label
_atom_site_type_symbol
_atom_site_fract_x
_atom_site_fract_y
_atom_site_fract_z
Np1 Np 0.0000 0.0000 0.1110
Au1 Au 0.0000 0.0000 0.0000
N1 N 0.0000 0.0000 0.5000
```

Computed properties:
Formation energy from raw total energies in eV/atom: -0.23
Total moment in μB/atom: 1.589

---

Question: total moment of number 3 (ZnCrHRu)?
Answer: 0.000 μB/atom

---

Question: Which value of total moment does entry 1 give?
Answer: 0.000 μB/atom